(1)
DFT (PBE) results for KRbHgTe2 after structural relaxation.

Cell lengths 9.261, 9.261, 6.829 Å; angles 90.00, 90.00, 129.06 degrees
Fractional coordinates of all 10 atoms:
K 0.250 0.250 0.000
K 0.750 0.750 0.000
Rb 0.250 0.750 0.727
Rb 0.750 0.250 0.273
Hg 0.000 0.000 0.500
Hg 0.500 0.500 0.500
Te 0.130 0.870 0.272
Te 0.370 0.630 0.272
Te 0.630 0.370 0.728
Te 0.870 0.130 0.728

Its magnetization is 0.000 μB/cell. As for the space group: Cmme, No. 67. The formation energy from raw total energies is -16.12 kcal/mol of atoms.

(2)
DFT (PBE) results for YFe2Se after structural relaxation.

Cell lengths 5.489, 5.489, 5.489 Å; angles 42.58, 42.58, 42.58 degrees
Fractional coordinates of all 4 atoms:
Y 0.000 0.000 0.000
Fe 0.207 0.207 0.207
Fe 0.515 0.515 0.515
Se 0.793 0.793 0.793

Its magnetization is 2.965 μB/cell. As for the space group: R3m, No. 160. The formation energy from raw total energies is -7.97 kcal/mol of atoms.

(3)
DFT (PBE) results for Be3Tl2 after structural relaxation.

Cell lengths 3.736, 3.736, 7.621 Å; angles 90.00, 90.00, 120.00 degrees
Fractional coordinates of all 5 atoms:
Be 0.000 0.000 0.000
Be 0.333 0.667 0.020
Be 0.667 0.333 0.980
Tl 0.333 0.667 0.675
Tl 0.667 0.333 0.325

Its magnetization is 0.000 μB/cell. The formation energy comes out at 0.269 eV per atom. As for the space group: P-3m1, No. 164. For the polymorph energy (0 for the lowest one), the calculation gives 0 meV per atom.

Asked for VASP energy across the records above, the calculation gives -2.43; -7.06; -2.91 eV/atom in order.